DFT (PBEsol) results for a relaxed Hf2Ge2Ir crystal.

- DFT formation energy: -0.78 eV per atom

abc: 6.3580 6.3580 4.1469
angles: 90.00 90.00 90.00
Closest atoms and distances in Å follow each position.
Positions (direct):
Hf (0.1683, 0.3317, 0.0000)  6 Ge 2.71-2.85, 1 Hf 3.03
Hf (0.3317, 0.8317, 0.0000)  6 Ge 2.71-2.85, 1 Hf 3.03
Hf (0.6683, 0.1683, 0.0000)  6 Ge 2.71-2.85, 1 Hf 3.03
Hf (0.8317, 0.6683, 0.0000)  6 Ge 2.71-2.85, 1 Hf 3.03
Ge (0.1376, 0.6376, 0.5000)  2 Ir 2.46, 1 Ge 2.47, 2 Hf 2.71
Ge (0.3624, 0.1376, 0.5000)  2 Ir 2.46, 1 Ge 2.47, 2 Hf 2.71
Ge (0.6376, 0.8624, 0.5000)  2 Ir 2.46, 1 Ge 2.47, 2 Hf 2.71
Ge (0.8624, 0.3624, 0.5000)  2 Ir 2.46, 1 Ge 2.47, 2 Hf 2.71
Ir (0.0000, 0.0000, 0.5000)  4 Ge 2.46
Ir (0.5000, 0.5000, 0.5000)  4 Ge 2.46

---

DFT (PBEsol) results for a relaxed Hf3GeIr crystal.

- DFT formation energy: 0.63 eV per atom

abc: 4.7765 4.7765 4.7765
angles: 90.00 90.00 90.00
Closest atoms and distances in Å follow each position.
Positions (direct):
Hf (0.0000, 0.0000, 0.5000)  2 Ge 2.39
Hf (0.0000, 0.5000, 0.0000)  2 Ge 2.39
Hf (0.5000, 0.0000, 0.0000)  2 Ge 2.39
Ge (0.0000, 0.0000, 0.0000)  6 Hf 2.39
Ir (0.5000, 0.5000, 0.5000)  12 Hf 3.38

---

DFT (PBEsol) results for a relaxed HfNbGe2Ir crystal.

- DFT formation energy: 1.27 eV per atom

abc: 4.7661 4.7661 4.9050
angles: 90.00 90.00 90.00
Closest atoms and distances in Å follow each position.
Positions (direct):
Hf (0.0000, 0.0000, 0.0000)  2 Nb 2.45
Nb (0.0000, 0.0000, 0.5000)  4 Ge 2.38, 2 Hf 2.45
Ge (0.0000, 0.5000, 0.5000)  2 Nb 2.38
Ge (0.5000, 0.0000, 0.5000)  2 Nb 2.38
Ir (0.5000, 0.5000, 0.0000)  4 Hf 3.37, 8 Ge 3.42

---

DFT (PBEsol) results for a relaxed HfSiGe2Ir crystal.

- Energy relative to the elements, uncorrected: 0.525 eV/atom

abc: 4.6681 4.6681 4.3591
angles: 90.00 90.00 90.00
Closest atoms and distances in Å follow each position.
Positions (direct):
Hf (0.0000, 0.0000, 0.0000)  8 Ge 3.19, 4 Ir 3.30
Si (0.5000, 0.5000, 0.5000)  2 Ir 2.18, 4 Ge 2.33
Ge (0.0000, 0.5000, 0.5000)  2 Si 2.33
Ge (0.5000, 0.0000, 0.5000)  2 Si 2.33
Ir (0.5000, 0.5000, 0.0000)  2 Si 2.18

---

DFT (PBEsol) results for a relaxed LaHf3Ge crystal.

- DFT formation energy: 1.62 eV per atom

abc: 5.0426 5.0426 5.0426
angles: 90.00 90.00 90.00
Closest atoms and distances in Å follow each position.
Positions (direct):
La (0.0000, 0.0000, 0.0000)  6 Hf 2.52
Hf (0.0000, 0.0000, 0.5000)  2 La 2.52
Hf (0.0000, 0.5000, 0.0000)  2 La 2.52
Hf (0.5000, 0.0000, 0.0000)  2 La 2.52
Ge (0.5000, 0.5000, 0.5000)  12 Hf 3.57

---

DFT (PBEsol) results for a relaxed LiHf2GePd crystal.

- DFT formation energy: 0.38 eV per atom

abc: 4.5834 4.5834 4.0616
angles: 90.00 90.00 90.00
Closest atoms and distances in Å follow each position.
Positions (direct):
Li (0.0000, 0.0000, 0.0000)  2 Ge 2.03
Hf (0.0000, 0.5000, 0.0000)  2 Li 2.29
Hf (0.5000, 0.0000, 0.0000)  2 Li 2.29
Ge (0.0000, 0.0000, 0.5000)  2 Li 2.03
Pd (0.5000, 0.5000, 0.5000)  8 Hf 3.06, 4 Ge 3.24

---

DFT (PBEsol) results for a relaxed HfMg2GeSe crystal.

- Energy relative to the elements, uncorrected: 0.988 eV/atom

abc: 5.6235 5.6235 4.9227
angles: 90.00 90.00 90.00
Closest atoms and distances in Å follow each position.
Positions (direct):
Hf (0.0000, 0.0000, 0.0000)  2 Ge 2.46
Mg (0.0000, 0.5000, 0.0000)  2 Hf 2.81
Mg (0.5000, 0.0000, 0.0000)  2 Hf 2.81
Ge (0.0000, 0.0000, 0.5000)  2 Hf 2.46
Se (0.5000, 0.5000, 0.5000)  8 Mg 3.74, 4 Ge 3.98

---

DFT (PBEsol) results for a relaxed HfMnGe crystal.

- DFT formation energy: -0.54 eV per atom

abc: 6.4966 6.4966 3.7352
angles: 90.00 90.00 120.00
Closest atoms and distances in Å follow each position.
Positions (direct):
Hf (0.0000, 0.5826, 0.0000)  5 Ge 2.70-2.71, 6 Mn 2.92-3.01
Hf (0.4174, 0.4174, 0.0000)  5 Ge 2.70-2.71, 6 Mn 2.92-3.01
Hf (0.5826, 0.0000, 0.0000)  5 Ge 2.70-2.71, 6 Mn 2.92-3.01
Mn (0.0000, 0.2380, 0.5000)  4 Ge 2.42-2.53, 2 Mn 2.68
Mn (0.2380, 0.0000, 0.5000)  4 Ge 2.42-2.53, 2 Mn 2.68
Mn (0.7620, 0.7620, 0.5000)  4 Ge 2.42-2.53, 2 Mn 2.68
Ge (0.0000, 0.0000, 0.0000)  6 Mn 2.42, 3 Hf 2.71
Ge (0.3333, 0.6667, 0.5000)  3 Mn 2.53, 6 Hf 2.70
Ge (0.6667, 0.3333, 0.5000)  3 Mn 2.53, 6 Hf 2.70

---

DFT (PBEsol) results for a relaxed Hf9GeMo4 crystal.

- DFT formation energy: -0.22 eV per atom

abc: 8.5553 8.5553 8.6135
angles: 90.00 90.00 120.00
Closest atoms and distances in Å follow each position.
Positions (direct):
Hf (0.0773, 0.5386, 0.2500)  2 Mo 2.88, 1 Ge 3.04, 8 Hf 3.20-3.22
Hf (0.1968, 0.3937, 0.5434)  1 Ge 2.69, 2 Mo 2.84-2.94, 2 Hf 3.01
Hf (0.1968, 0.3937, 0.9566)  1 Ge 2.69, 2 Mo 2.84-2.94, 2 Hf 3.01
Hf (0.1968, 0.8032, 0.5434)  1 Ge 2.69, 2 Mo 2.84-2.94, 2 Hf 3.01
Hf (0.1968, 0.8032, 0.9566)  1 Ge 2.69, 2 Mo 2.84-2.94, 2 Hf 3.01
Hf (0.3937, 0.1968, 0.0434)  1 Ge 2.69, 2 Mo 2.84-2.94, 2 Hf 3.01
Hf (0.3937, 0.1968, 0.4566)  1 Ge 2.69, 2 Mo 2.84-2.94, 2 Hf 3.01
Hf (0.4614, 0.5386, 0.2500)  2 Mo 2.88, 1 Ge 3.04, 8 Hf 3.20-3.22
Hf (0.4614, 0.9227, 0.2500)  2 Mo 2.88, 1 Ge 3.04, 8 Hf 3.20-3.22
Hf (0.5386, 0.0773, 0.7500)  2 Mo 2.88, 1 Ge 3.04, 8 Hf 3.20-3.22
Hf (0.5386, 0.4614, 0.7500)  2 Mo 2.88, 1 Ge 3.04, 8 Hf 3.20-3.22
Hf (0.6063, 0.8032, 0.5434)  1 Ge 2.69, 2 Mo 2.84-2.94, 2 Hf 3.01
Hf (0.6063, 0.8032, 0.9566)  1 Ge 2.69, 2 Mo 2.84-2.94, 2 Hf 3.01
Hf (0.8032, 0.1968, 0.0434)  1 Ge 2.69, 2 Mo 2.84-2.94, 2 Hf 3.01
Hf (0.8032, 0.1968, 0.4566)  1 Ge 2.69, 2 Mo 2.84-2.94, 2 Hf 3.01
Hf (0.8032, 0.6063, 0.0434)  1 Ge 2.69, 2 Mo 2.84-2.94, 2 Hf 3.01
Hf (0.8032, 0.6063, 0.4566)  1 Ge 2.69, 2 Mo 2.84-2.94, 2 Hf 3.01
Hf (0.9227, 0.4614, 0.7500)  2 Mo 2.88, 1 Ge 3.04, 8 Hf 3.20-3.22
Ge (0.3333, 0.6667, 0.7500)  6 Hf 2.69
Ge (0.6667, 0.3333, 0.2500)  6 Hf 2.69
Mo (0.0000, 0.0000, 0.0000)  6 Mo 2.70, 6 Hf 2.94
Mo (0.0000, 0.0000, 0.5000)  6 Mo 2.70, 6 Hf 2.94
Mo (0.1097, 0.2195, 0.2500)  4 Mo 2.70-2.82, 4 Hf 2.84-2.88
Mo (0.1097, 0.8903, 0.2500)  4 Mo 2.70-2.82, 4 Hf 2.84-2.88
Mo (0.2195, 0.1097, 0.7500)  4 Mo 2.70-2.82, 4 Hf 2.84-2.88
Mo (0.7805, 0.8903, 0.2500)  4 Mo 2.70-2.82, 4 Hf 2.84-2.88
Mo (0.8903, 0.1097, 0.7500)  4 Mo 2.70-2.82, 4 Hf 2.84-2.88
Mo (0.8903, 0.7805, 0.7500)  4 Mo 2.70-2.82, 4 Hf 2.84-2.88

---

DFT (PBEsol) results for a relaxed Hf2Ge2Mo crystal.

- DFT formation energy: -0.68 eV per atom

abc: 6.7254 6.7254 3.7529
angles: 90.00 90.00 90.00
Closest atoms and distances in Å follow each position.
Positions (direct):
Hf (0.1727, 0.3273, 0.0000)  6 Ge 2.64-2.79
Hf (0.3273, 0.8273, 0.0000)  6 Ge 2.64-2.79
Hf (0.6727, 0.1727, 0.0000)  6 Ge 2.64-2.79
Hf (0.8273, 0.6727, 0.0000)  6 Ge 2.64-2.79
Ge (0.1322, 0.6322, 0.5000)  1 Ge 2.51, 2 Mo 2.63, 6 Hf 2.64-2.79
Ge (0.3678, 0.1322, 0.5000)  1 Ge 2.51, 2 Mo 2.63, 6 Hf 2.64-2.79
Ge (0.6322, 0.8678, 0.5000)  1 Ge 2.51, 2 Mo 2.63, 6 Hf 2.64-2.79
Ge (0.8678, 0.3678, 0.5000)  1 Ge 2.51, 2 Mo 2.63, 6 Hf 2.64-2.79
Mo (0.0000, 0.0000, 0.5000)  4 Ge 2.63
Mo (0.5000, 0.5000, 0.5000)  4 Ge 2.63

---

Total DFT energy (no corrections): -8.924 -8.624 -6.934 -6.665 -6.737 -6.394 -3.557 -8.946 -10.685 -9.206 (eV per atom)